Material: K2NaZn
Method: DFT, PBE-GGA
State: optimized geometry

a = 4.3077 Å, b = 4.3077 Å, c = 35.0505 Å
α = 90.00°, β = 90.00°, γ = 120.00°
Closest atoms and distances in Å follow each position.
Space group R3m (No. 160, hexagonal axes)
Symmetry-distinct sites (fractional):
K: 0.0000 0.0000 0.0000 (multiplicity 3)  3 Zn 3.50
K: 0.0000 0.0000 0.1926 (multiplicity 3)  3 Zn 3.50
Na: 0.0000 0.0000 0.7629 (multiplicity 3)  6 K 4.19, 6 Na 4.31
Zn: 0.0000 0.0000 0.5964 (multiplicity 3)  6 K 3.50

Crystal system ... trigonal
Total magnetization ... 0.000 μB per atom

***

Material: PuPaSe4
Method: DFT, PBE-GGA
State: optimized geometry

a = 4.8197 Å, b = 4.8197 Å, c = 6.8508 Å
α = 90.00°, β = 90.00°, γ = 90.00°
Closest atoms and distances in Å follow each position.
Space group P4/mmm (No. 123)
Symmetry-distinct sites (fractional):
Pu: 0.0000 0.0000 0.0000 (multiplicity 1)  8 Se 2.98
Pa: 0.5000 0.5000 0.5000 (multiplicity 1)  8 Se 2.93
Se: 0.0000 0.5000 0.2564 (multiplicity 4)  2 Pa 2.93, 2 Pu 2.98

Crystal system ... tetragonal
Energy above the most stable polymorph in this dataset ... 0.000 eV per atom
Total magnetization ... 0.835 μB per atom

***

Material: LiSiP
Method: DFT, PBE-GGA
State: optimized geometry

a = 2.5766 Å, b = 4.1990 Å, c = 8.7549 Å
α = 90.00°, β = 90.00°, γ = 90.00°
Closest atoms and distances in Å follow each position.
Space group Imm2 (No. 44)
Symmetry-distinct sites (fractional):
Li: 0.0000 0.0000 0.0000 (multiplicity 2)  2 Li 2.58, 4 P 2.60, 4 Si 2.86
Si: 0.0000 0.0000 0.3337 (multiplicity 2)  1 P 2.30
P: 0.0000 0.0000 0.5960 (multiplicity 2)  1 Si 2.30

Crystal system ... orthorhombic
Energy above the most stable polymorph in this dataset ... 0.376 eV per atom
Total magnetization ... 0.000 μB per atom

***

Material: Te3SO
Method: DFT, PBE-GGA
State: optimized geometry

a = 4.8098 Å, b = 4.8098 Å, c = 4.8098 Å
α = 90.00°, β = 90.00°, γ = 90.00°
Closest atoms and distances in Å follow each position.
Space group Pm-3m (No. 221)
Symmetry-distinct sites (fractional):
Te: 0.0000 0.0000 0.5000 (multiplicity 3)  2 O 2.40
S: 0.5000 0.5000 0.5000 (multiplicity 1)  12 Te 3.40
O: 0.0000 0.0000 0.0000 (multiplicity 1)  6 Te 2.40

Crystal system ... cubic
Energy above the most stable polymorph in this dataset ... 0.000 eV per atom
Total magnetization ... 0.000 μB per atom

***

Material: ZrMo2P
Method: DFT, PBE-GGA
State: optimized geometry

a = 3.2037 Å, b = 4.5660 Å, c = 4.6735 Å
α = 90.00°, β = 92.41°, γ = 90.00°
Closest atoms and distances in Å follow each position.
Space group P2/m (No. 10)
Symmetry-distinct sites (fractional):
Zr: 0.0000 0.0000 0.0000 (multiplicity 1)  4 P 2.78-2.89, 4 Mo 2.82
Mo: 0.3430 0.5000 0.7466 (multiplicity 2)  2 Mo 2.53-2.55, 2 P 2.62, 2 Zr 2.82
P: 0.5000 0.0000 0.5000 (multiplicity 1)  4 Mo 2.62, 4 Zr 2.78-2.89

Crystal system ... monoclinic
Total magnetization ... 0.000 μB per atom

***

Material: Cd2ReOs
Method: DFT, PBE-GGA
State: optimized geometry

a = 2.9114 Å, b = 2.9114 Å, c = 8.3709 Å
α = 90.00°, β = 90.00°, γ = 90.00°
Closest atoms and distances in Å follow each position.
Space group P4mm (No. 99)
Symmetry-distinct sites (fractional):
Cd: 0.0000 0.0000 0.0000 (multiplicity 1)  8 Cd 2.91-3.22, 4 Re 3.00
Cd: 0.5000 0.5000 0.2959 (multiplicity 1)  8 Cd 2.91-3.22, 4 Os 2.98
Re: 0.5000 0.5000 0.7393 (multiplicity 1)  4 Os 2.58
Os: 0.0000 0.0000 0.5536 (multiplicity 1)  4 Re 2.58

Crystal system ... tetragonal
Energy above the most stable polymorph in this dataset ... 0.000 eV per atom
Total magnetization ... 0.000 μB per atom

***

no.,calculated total energy (eV for the cell shown)
1,-12.31
2,-45.93
3,-24.90
4,-15.90
5,-35.99
6,-24.67